This record from Alexandria describes crystalline KPb2Au at its relaxed geometry. The functional is GGA-PBE.

a b c (Å): 6.2602 6.2602 6.2602
angles (deg): 135.79 135.79 64.31
With the nearest neighbours (Å) after each atom.
Sites, in units of the cell vectors:
Au (0.2500, 0.7500, 0.5000)  4 K 3.33, 8 Pb 3.55
K (0.7500, 0.2500, 0.5000)  4 Au 3.33, 8 Pb 3.55
Pb (0.0000, 0.0000, 0.0000)  4 Pb 3.33, 4 Au 3.55, 4 K 3.55
Pb (0.5000, 0.5000, 0.0000)  4 Pb 3.33, 4 K 3.55, 4 Au 3.55

Values from the calculation:
The energy of formation is 0.035 eV per atom. As for the crystal system: tetragonal.

---

This record from Alexandria describes crystalline PmMnTcGe2 at its relaxed geometry. The functional is GGA-PBE.

a b c (Å): 4.0838 4.0838 6.2039
angles (deg): 109.22 109.22 90.00
With the nearest neighbours (Å) after each atom.
Sites, in units of the cell vectors:
Pm (0.0000, 0.0000, 0.0000)  8 Ge 3.17, 4 Mn 3.42, 4 Tc 3.42
Mn (0.7500, 0.2500, 0.5000)  4 Ge 2.49
Tc (0.2500, 0.7500, 0.5000)  4 Ge 2.49
Ge (0.6198, 0.6198, 0.2397)  2 Mn 2.49, 2 Tc 2.49, 1 Ge 2.63
Ge (0.3802, 0.3802, 0.7603)  2 Mn 2.49, 2 Tc 2.49, 1 Ge 2.63

Values from the calculation:
The energy of formation is -0.481 eV per atom. As for the crystal system: tetragonal.

---

This record from Alexandria describes crystalline ZrMn2Re at its relaxed geometry. The functional is GGA-PBE.

a b c (Å): 4.3860 2.8292 4.8750
angles (deg): 80.21 90.00 90.00
With the nearest neighbours (Å) after each atom.
Sites, in units of the cell vectors:
Mn (0.0000, 0.0755, 0.9884)  3 Re 2.60-2.74, 4 Mn 2.66-2.83, 2 Zr 2.67
Mn (0.5000, 0.2024, 0.2765)  2 Re 2.55, 2 Zr 2.57-2.64, 4 Mn 2.66-2.83
Re (0.0000, 0.4853, 0.4587)  5 Mn 2.55-2.74, 2 Re 2.83, 2 Zr 2.84
Zr (0.5000, 0.7368, 0.7764)  4 Mn 2.57-2.67, 2 Zr 2.83, 2 Re 2.84

Values from the calculation:
The energy of formation is 0.156 eV per atom. As for the crystal system: monoclinic.

---

This record from Alexandria describes crystalline RbB2H8 at its relaxed geometry. The functional is GGA-PBE.

a b c (Å): 2.8223 7.9150 7.1872
angles (deg): 56.59 78.88 69.49
With the nearest neighbours (Å) after each atom.
Sites, in units of the cell vectors:
Rb (0.5000, 0.0000, 0.0000)  8 H 2.79, 2 Rb 2.82
B (0.0000, 0.2322, 0.5356)  2 H 1.22
B (0.0000, 0.7678, 0.4644)  2 H 1.22
H (0.8614, 0.9609, 0.3604)  1 B 1.22
H (0.8614, 0.3213, 0.6396)  1 B 1.22
H (0.3665, 0.5001, 0.0000)  1 H 0.75
H (0.5000, 0.7196, 0.5607)  2 B 1.52
H (0.5000, 0.2804, 0.4393)  2 B 1.52
H (0.6335, 0.4999, 0.0000)  1 H 0.75
H (0.1386, 0.6787, 0.3604)  1 B 1.22
H (0.1386, 0.0391, 0.6396)  1 B 1.22

Values from the calculation:
The value obtained for the final energy is -39.20 eV per cell. As for the crystal system: monoclinic.

---

This record from Alexandria describes crystalline ZnTe2As at its relaxed geometry. The functional is GGA-PBE.

a b c (Å): 4.0239 4.7734 5.6737
angles (deg): 73.45 90.00 90.00
With the nearest neighbours (Å) after each atom.
Sites, in units of the cell vectors:
As (0.5000, 0.7826, 0.6744)  3 Te 2.68-2.93, 2 Zn 2.69
Te (0.0000, 0.9764, 0.9694)  1 Zn 2.80, 2 As 2.93
Te (0.5000, 0.2698, 0.2967)  1 As 2.68, 2 Zn 2.83
Zn (0.0000, 0.4711, 0.5594)  2 As 2.69, 3 Te 2.80-2.83

Values from the calculation:
As for the crystal system: monoclinic. Its uncorrected formation energy is 0.1 eV/f.u.

---

This record from Alexandria describes crystalline GaReH at its relaxed geometry. The functional is GGA-PBE.

a b c (Å): 2.6387 3.2158 8.3224
angles (deg): 90.00 90.00 90.00
With the nearest neighbours (Å) after each atom.
Sites, in units of the cell vectors:
Ga (0.5000, 0.0000, 0.5776)  6 H 2.62-2.89, 2 Ga 2.64, 6 Re 2.72-2.74
Ga (0.5000, 0.5000, 0.0776)  6 H 2.62-2.89, 2 Ga 2.64, 6 Re 2.72-2.74
Re (0.0000, 0.0000, 0.8636)  2 H 1.79
Re (0.0000, 0.5000, 0.3636)  2 H 1.79
H (0.0000, 0.0000, 0.2684)  2 Re 1.79
H (0.0000, 0.5000, 0.7684)  2 Re 1.79

Values from the calculation:
The value obtained for the final energy is -36.42 eV per cell. As for the crystal system: orthorhombic.